No. 1
Compound: Er2NiF8
Source: the Alexandria database
Functional: PBE+U
Structure: optimized geometry

Unit cell a=15.8192 b=3.3341 c=5.7941 alpha=90.00 beta=92.80 gamma=90.00
With the nearest neighbours (Å) after each atom.
Space group C2/m (No. 12)
One atom of each set of equivalent atoms:
1 Er 0.1542 0.0000 0.3411 [4 per cell]  8 F 2.15-2.33
2 Ni 0.0000 0.5000 0.0000 [2 per cell]  6 F 2.03-2.09
3 F 0.0150 0.0000 0.2151 [4 per cell]  2 Ni 2.09, 1 Er 2.29
4 F 0.1072 0.5000 0.5307 [4 per cell]  2 Er 2.15
5 F 0.1270 0.5000 0.0664 [4 per cell]  1 Ni 2.03
6 F 0.2437 0.0000 0.6698 [4 per cell]  3 Er 2.32, 3 F 2.49-2.59

**Total DFT energy (no corrections)**: -5.94 eV per atom
**N(E_F)**: 0.000 states/eV/atom


No. 2
Compound: Rb2ErNiF6
Source: the Alexandria database
Functional: PBE+U
Structure: optimized geometry

Unit cell a=8.4673 b=8.4635 c=6.5696 alpha=90.00 beta=130.11 gamma=90.00
With the nearest neighbours (Å) after each atom.
Space group C2/m (No. 12)
One atom of each set of equivalent atoms:
1 Rb 0.0000 0.2503 0.0000 [4 per cell]  12 F 3.01-3.29
2 Er 0.0000 0.0000 0.5000 [2 per cell]  6 F 2.15
3 Ni 0.0000 0.5000 0.5000 [2 per cell]  4 F 2.08
4 F 0.0000 0.2545 0.5000 [4 per cell]  1 Ni 2.08, 1 Er 2.15
5 F 0.2130 0.0000 0.9275 [4 per cell]  1 Er 2.15
6 F 0.2447 0.5000 0.4982 [4 per cell]  1 Ni 2.08, 1 Er 2.15

**Total DFT energy (no corrections)**: -5.01 eV per atom


No. 3
Compound: RbErNiF6
Source: the Alexandria database
Functional: PBE+U
Structure: optimized geometry

Unit cell a=7.6029 b=8.0327 c=10.8508 alpha=90.00 beta=90.00 gamma=90.00
With the nearest neighbours (Å) after each atom.
Space group Imma (No. 74)
One atom of each set of equivalent atoms:
1 Rb 0.0000 0.2500 0.0566 [4 per cell]  1 F 2.79
2 Er 0.0000 0.0000 0.5000 [4 per cell]  6 F 2.15-2.19
3 Ni 0.2500 0.2500 0.7500 [4 per cell]  6 F 1.97-2.05
4 F 0.0000 0.2500 0.4196 [4 per cell]  2 Er 2.19
5 F 0.0000 0.2500 0.7991 [4 per cell]  2 Ni 1.97
6 F 0.2138 0.0704 0.6186 [16 per cell]  1 Ni 2.05, 1 Er 2.15

**Total DFT energy (no corrections)**: -5.33 eV per atom
**N(E_F)**: 0.000 states/eV/atom


No. 4
Compound: ErTl2NiF6
Source: the Alexandria database
Functional: PBE+U
Structure: optimized geometry

Unit cell a=5.9563 b=10.1121 c=5.9569 alpha=90.00 beta=90.00 gamma=90.00
With the nearest neighbours (Å) after each atom.
Space group Pmmn (No. 59, origin choice 2)
One atom of each set of equivalent atoms:
1 Er 0.2500 0.2500 0.2474 [2 per cell]  6 F 2.15-2.16
2 Tl 0.2500 0.0001 0.7499 [4 per cell]  12 F 2.98-3.30
3 Ni 0.2500 0.7500 0.2530 [2 per cell]  4 F 2.06
4 F 0.0055 0.7500 0.0080 [4 per cell]  1 Ni 2.06, 1 Er 2.15
5 F 0.0054 0.7500 0.4973 [4 per cell]  1 Ni 2.06, 1 Er 2.15
6 F 0.2500 0.0365 0.2461 [4 per cell]  1 Er 2.16

**Total DFT energy (no corrections)**: -4.87 eV per atom


Question: What is the total DFT energy (no corrections) in the second record?
Answer: -5.01 eV per atom


Question: Number 2 is which compound?
Answer: Rb2ErNiF6


Question: What is the total DFT energy (no corrections) in the third record?
Answer: -5.33 eV per atom